# 1
Entry from Alexandria via LeMat-Bulk: a relaxed structure of Pr2Ho3Er6 (GGA-PBE).

Lattice parameters (Å, degrees): 16.8964 16.8964 16.8964 163.95 163.95 22.77
Fractional coordinates of all 11 atoms:
Pr (0.0466, 0.0466, 0.0000)
Pr (0.9534, 0.9534, 0.0000)
Ho (0.2981, 0.2981, 0.0000)
Ho (0.5000, 0.5000, 0.0000)
Ho (0.7019, 0.7019, 0.0000)
Er (0.1230, 0.6230, 0.5000)
Er (0.1954, 0.1954, 0.0000)
Er (0.3770, 0.8770, 0.5000)
Er (0.6230, 0.1230, 0.5000)
Er (0.8046, 0.8046, 0.0000)
Er (0.8770, 0.3770, 0.5000)

Results
* symmetry: No. 139
* N(E_F): 1.50 states/eV per atom
* calculated total energy: -47.7 eV for the cell shown
* energy of formation from the pure elements: 0.271 eV/atom


# 2
Entry from Alexandria via LeMat-Bulk: a relaxed structure of Pr2HoEr5 (GGA-PBE).

Lattice parameters (Å, degrees): 9.4589 9.4589 6.5633 98.30 98.30 62.81
Fractional coordinates of all 16 atoms:
Pr (0.1650, 0.6745, 0.8799)
Pr (0.3255, 0.8350, 0.6201)
Pr (0.6745, 0.1650, 0.3799)
Pr (0.8350, 0.3255, 0.1201)
Ho (0.0000, 0.5000, 0.0000)
Ho (0.5000, 0.0000, 0.5000)
Er (0.0124, 0.1895, 0.6494)
Er (0.1895, 0.0124, 0.1494)
Er (0.2141, 0.3880, 0.4713)
Er (0.3880, 0.2141, 0.9713)
Er (0.4398, 0.5602, 0.2500)
Er (0.5602, 0.4398, 0.7500)
Er (0.6120, 0.7859, 0.0287)
Er (0.7859, 0.6120, 0.5287)
Er (0.8105, 0.9876, 0.8506)
Er (0.9876, 0.8105, 0.3506)

Results
* excess energy over the best structure of this formula in the dataset: 144 meV/atom
* symmetry: No. 15
* N(E_F): 1.48 states/eV per atom
* calculated total energy: -71.2 eV for the cell shown
* energy of formation from the pure elements: 0.169 eV/atom


# 3
Entry from Alexandria via LeMat-Bulk: a relaxed structure of Pr6Ho5Er (GGA-PBE).

Lattice parameters (Å, degrees): 9.5664 9.5664 9.5664 148.70 116.40 72.60
Fractional coordinates of all 12 atoms:
Pr (0.0831, 0.3333, 0.7498)
Pr (0.2497, 0.0000, 0.2497)
Pr (0.4165, 0.6667, 0.7498)
Pr (0.5835, 0.3333, 0.2502)
Pr (0.7503, 0.0000, 0.7503)
Pr (0.9169, 0.6667, 0.2502)
Ho (0.1667, 0.1667, 0.0000)
Ho (0.3335, 0.8335, 0.5000)
Ho (0.5000, 0.5000, 0.0000)
Ho (0.6665, 0.1665, 0.5000)
Ho (0.8333, 0.8333, 0.0000)
Er (0.0000, 0.5000, 0.5000)

Results
* excess energy over the best structure of this formula in the dataset: 6 meV/atom
* symmetry: No. 71
* N(E_F): 1.34 states/eV per atom
* calculated total energy: -55.9 eV for the cell shown
* energy of formation from the pure elements: 0.019 eV/atom


# 4
Entry from Alexandria via LeMat-Bulk: a relaxed structure of Pr3Ho5Er3 (GGA-PBE).

Lattice parameters (Å, degrees): 9.6656 9.6656 5.3795 90.00 90.00 120.00
Fractional coordinates of all 11 atoms:
Pr (0.0000, 0.3649, 0.0000)
Pr (0.3649, 0.0000, 0.0000)
Pr (0.6351, 0.6351, 0.0000)
Ho (0.0000, 0.7357, 0.0000)
Ho (0.2643, 0.2643, 0.0000)
Ho (0.3333, 0.6667, 0.0000)
Ho (0.6667, 0.3333, 0.0000)
Ho (0.7357, 0.0000, 0.0000)
Er (0.0000, 0.5435, 0.5000)
Er (0.4565, 0.4565, 0.5000)
Er (0.5435, 0.0000, 0.5000)

Results
* symmetry: No. 189
* N(E_F): 1.40 states/eV per atom
* calculated total energy: -42.0 eV for the cell shown
* energy of formation from the pure elements: 0.813 eV/atom


# 5
Entry from Alexandria via LeMat-Bulk: a relaxed structure of PrHoEr2 (GGA-PBE).

Lattice parameters (Å, degrees): 3.6434 11.3686 6.2617 90.00 90.00 90.00
Fractional coordinates of all 8 atoms:
Pr (0.0000, 0.0000, 0.0000)
Pr (0.5000, 0.5000, 0.5000)
Ho (0.0000, 0.5000, 0.9959)
Ho (0.5000, 0.0000, 0.4959)
Er (0.0000, 0.2475, 0.6623)
Er (0.0000, 0.7525, 0.6623)
Er (0.5000, 0.2525, 0.1623)
Er (0.5000, 0.7475, 0.1623)

Results
* excess energy over the best structure of this formula in the dataset: 4 meV/atom
* symmetry: No. 44
* N(E_F): 1.70 states/eV per atom
* calculated total energy: -36.8 eV for the cell shown
* energy of formation from the pure elements: 0.021 eV/atom


# 6
Entry from Alexandria via LeMat-Bulk: a relaxed structure of Pr4Ho8Er3 (GGA-PBE).

Lattice parameters (Å, degrees): 12.5110 12.5110 12.5110 32.23 32.23 32.23
Fractional coordinates of all 15 atoms:
Pr (0.0000, 0.0000, 0.0000)
Pr (0.1635, 0.1635, 0.1635)
Pr (0.5000, 0.5000, 0.5000)
Pr (0.8365, 0.8365, 0.8365)
Ho (0.2493, 0.2493, 0.7464)
Ho (0.2493, 0.7464, 0.2493)
Ho (0.2536, 0.7507, 0.7507)
Ho (0.2558, 0.2558, 0.2558)
Ho (0.7442, 0.7442, 0.7442)
Ho (0.7464, 0.2493, 0.2493)
Ho (0.7507, 0.2536, 0.7507)
Ho (0.7507, 0.7507, 0.2536)
Er (0.0000, 0.5000, 0.5000)
Er (0.5000, 0.0000, 0.5000)
Er (0.5000, 0.5000, 0.0000)

Results
* excess energy over the best structure of this formula in the dataset: 0 meV/atom
* symmetry: No. 166
* N(E_F): 1.48 states/eV per atom
* calculated total energy: -67.7 eV for the cell shown
* energy of formation from the pure elements: 0.116 eV/atom


# 7
Entry from Alexandria via LeMat-Bulk: a relaxed structure of Pr3Ho3Er4 (GGA-PBE).

Lattice parameters (Å, degrees): 3.6793 9.4557 9.4557 89.63 90.00 90.00
Fractional coordinates of all 10 atoms:
Pr (0.0000, 0.0000, 0.0000)
Pr (0.0000, 0.4982, 0.8473)
Pr (0.0000, 0.8473, 0.4982)
Ho (0.0000, 0.3478, 0.3478)
Ho (0.5000, 0.1757, 0.6665)
Ho (0.5000, 0.6665, 0.1757)
Er (0.5000, 0.0532, 0.3003)
Er (0.5000, 0.3003, 0.0532)
Er (0.5000, 0.5468, 0.5468)
Er (0.5000, 0.7980, 0.7980)

Results
* symmetry: No. 38
* N(E_F): 0.76 states/eV per atom
* calculated total energy: -45.3 eV for the cell shown
* energy of formation from the pure elements: 0.100 eV/atom


# 8
Entry from Alexandria via LeMat-Bulk: a relaxed structure of Pr3Ho4Er8 (GGA-PBE).

Lattice parameters (Å, degrees): 9.2594 9.2594 6.7092 111.21 111.21 87.72
Fractional coordinates of all 15 atoms:
Pr (0.0000, 0.0000, 0.0000)
Pr (0.0000, 0.5000, 0.0000)
Pr (0.5000, 0.0000, 0.0000)
Ho (0.0000, 0.5000, 0.5000)
Ho (0.5000, 0.0000, 0.5000)
Ho (0.5000, 0.5000, 0.0000)
Ho (0.5000, 0.5000, 0.5000)
Er (0.1392, 0.8608, 0.5000)
Er (0.2329, 0.2329, 0.9626)
Er (0.2400, 0.2400, 0.4909)
Er (0.2480, 0.7520, 0.0000)
Er (0.7520, 0.2480, 0.0000)
Er (0.7600, 0.7600, 0.5091)
Er (0.7671, 0.7671, 0.0374)
Er (0.8608, 0.1392, 0.5000)

Results
* symmetry: No. 12
* N(E_F): 1.97 states/eV per atom
* calculated total energy: -63.2 eV for the cell shown
* energy of formation from the pure elements: 0.398 eV/atom


# 9
Entry from Alexandria via LeMat-Bulk: a relaxed structure of Pr15Ho4Er (GGA-PBE).

Lattice parameters (Å, degrees): 5.1903 5.1903 25.8316 90.00 90.00 90.00
Fractional coordinates of all 20 atoms:
Pr (0.0000, 0.0000, 0.0000)
Pr (0.0000, 0.0000, 0.2001)
Pr (0.0000, 0.0000, 0.4001)
Pr (0.0000, 0.0000, 0.5999)
Pr (0.0000, 0.0000, 0.7999)
Pr (0.0000, 0.5000, 0.1000)
Pr (0.0000, 0.5000, 0.3001)
Pr (0.0000, 0.5000, 0.5000)
Pr (0.0000, 0.5000, 0.6999)
Pr (0.0000, 0.5000, 0.9000)
Pr (0.5000, 0.0000, 0.1000)
Pr (0.5000, 0.0000, 0.3001)
Pr (0.5000, 0.0000, 0.5000)
Pr (0.5000, 0.0000, 0.6999)
Pr (0.5000, 0.0000, 0.9000)
Ho (0.5000, 0.5000, 0.2001)
Ho (0.5000, 0.5000, 0.4001)
Ho (0.5000, 0.5000, 0.5999)
Ho (0.5000, 0.5000, 0.7999)
Er (0.5000, 0.5000, 0.0000)

Results
* symmetry: No. 123
* N(E_F): 1.34 states/eV per atom
* calculated total energy: -94.4 eV for the cell shown
* energy of formation from the pure elements: 0.009 eV/atom